No. 1
# B3AuI12 | Alexandria | GGA-PBE | optimized geometry
data_B3AuI12
_space_group_name_H-M_alt 'R 3 c'
_space_group_IT_number 161
_space_group_name_Hall 'R 3 -2"c'
_cell_length_a 11.8649
_cell_length_b 11.8649
_cell_length_c 37.3111
_cell_angle_alpha 90.00
_cell_angle_beta 90.00
_cell_angle_gamma 120.00
loop_
_atom_site_label
_atom_site_type_symbol
_atom_site_fract_x
_atom_site_fract_y
_atom_site_fract_z
B1 B 0.0330 0.3608 0.0000
Au1 Au 0.0000 0.0000 0.3815
I1 I 0.1604 0.4093 0.0512
I2 I 0.1612 0.4286 0.9522
I3 I 0.1902 0.4349 0.6674
I4 I 0.2086 0.4270 0.3371
# **Formation energy from raw total energies**: 56 meV per atom



No. 2
# LaNbTc3 | Alexandria | GGA-PBE | optimized geometry
data_LaNbTc3
_space_group_name_H-M_alt 'P m -3 m'
_space_group_IT_number 221
_space_group_name_Hall '-P 4 2 3'
_cell_length_a 4.6898
_cell_length_b 4.6898
_cell_length_c 4.6898
_cell_angle_alpha 90.00
_cell_angle_beta 90.00
_cell_angle_gamma 90.00
loop_
_atom_site_label
_atom_site_type_symbol
_atom_site_fract_x
_atom_site_fract_y
_atom_site_fract_z
La1 La 0.0000 0.0000 0.0000
Nb1 Nb 0.5000 0.5000 0.5000
Tc1 Tc 0.0000 0.0000 0.5000
# **Calculated formation energy**: 2.0066 eV per atom



No. 3
# Tl6InAu2 | Alexandria | GGA-PBE | optimized geometry
data_Tl6InAu2
_space_group_name_H-M_alt 'C 1 2/m 1'
_space_group_IT_number 12
_cell_length_a 15.3931
_cell_length_b 3.4534
_cell_length_c 11.1973
_cell_angle_alpha 90.00
_cell_angle_beta 121.46
_cell_angle_gamma 90.00
loop_
_space_group_symop_operation_xyz
'x,y,z'
'-x,-y,-z'
'-x,y,-z'
'x,-y,z'
'x+1/2,y+1/2,z'
'-x+1/2,-y+1/2,-z'
'-x+1/2,y+1/2,-z'
'x+1/2,-y+1/2,z'
loop_
_atom_site_label
_atom_site_type_symbol
_atom_site_fract_x
_atom_site_fract_y
_atom_site_fract_z
Tl1 Tl 0.0296 0.0000 0.2158
Tl2 Tl 0.1737 0.5000 0.0508
Tl3 Tl 0.2379 0.0000 0.6174
In1 In 0.0000 0.0000 0.5000
Au1 Au 0.1292 0.5000 0.7443
# **Calculated formation energy**: 0.0066 eV per atom



No. 4
# CeSm3Dy2P6 | Alexandria | GGA-PBE | optimized geometry
data_CeSm3Dy2P6
_space_group_name_H-M_alt 'C 1 2/m 1'
_space_group_IT_number 12
_cell_length_a 7.0409
_cell_length_b 12.1931
_cell_length_c 7.0501
_cell_angle_alpha 90.00
_cell_angle_beta 109.44
_cell_angle_gamma 90.00
loop_
_space_group_symop_operation_xyz
'x,y,z'
'-x,-y,-z'
'-x,y,-z'
'x,-y,z'
'x+1/2,y+1/2,z'
'-x+1/2,-y+1/2,-z'
'-x+1/2,y+1/2,-z'
'x+1/2,-y+1/2,z'
loop_
_atom_site_label
_atom_site_type_symbol
_atom_site_fract_x
_atom_site_fract_y
_atom_site_fract_z
Ce1 Ce 0.0000 0.0000 0.0000
Sm1 Sm 0.0000 0.1667 0.5000
Sm2 Sm 0.0000 0.5000 0.5000
Dy1 Dy 0.0000 0.3334 0.0000
P1 P 0.2477 0.1664 0.2441
P2 P 0.2484 0.5000 0.2432
# **Calculated formation energy**: -1.5814 eV per atom



No. 5
# Ca2YNi2 | Alexandria | GGA-PBE | optimized geometry
data_Ca2YNi2
_space_group_name_H-M_alt 'P 4/m b m'
_space_group_IT_number 127
_space_group_name_Hall '-P 4 2ab'
_cell_length_a 7.2113
_cell_length_b 7.2113
_cell_length_c 4.4916
_cell_angle_alpha 90.00
_cell_angle_beta 90.00
_cell_angle_gamma 90.00
loop_
_atom_site_label
_atom_site_type_symbol
_atom_site_fract_x
_atom_site_fract_y
_atom_site_fract_z
Ca1 Ca 0.1693 0.3307 0.0000
Y1 Y 0.0000 0.0000 0.5000
Ni1 Ni 0.1155 0.6155 0.5000
# **Calculated formation energy**: -0.1317 eV per atom



No. 6
# Pr2Er3Tl | Alexandria | GGA-PBE | optimized geometry
data_Pr2Er3Tl
_space_group_name_H-M_alt 'C m m m'
_space_group_IT_number 65
_space_group_name_Hall '-C 2 2'
_cell_length_a 4.8947
_cell_length_b 15.2706
_cell_length_c 4.9513
_cell_angle_alpha 90.00
_cell_angle_beta 90.00
_cell_angle_gamma 90.00
loop_
_atom_site_label
_atom_site_type_symbol
_atom_site_fract_x
_atom_site_fract_y
_atom_site_fract_z
Pr1 Pr 0.0000 0.1625 0.0000
Er1 Er 0.0000 0.0000 0.5000
Er2 Er 0.0000 0.3352 0.5000
Tl1 Tl 0.0000 0.5000 0.0000
# **Calculated formation energy**: -0.0888 eV per atom



No. 7
# Ca2IrRh3 | Alexandria | GGA-PBE | optimized geometry
data_Ca2IrRh3
_space_group_name_H-M_alt 'R -3 m'
_space_group_IT_number 166
_space_group_name_Hall '-R 3 2"'
_cell_length_a 5.3894
_cell_length_b 5.3894
_cell_length_c 12.9495
_cell_angle_alpha 90.00
_cell_angle_beta 90.00
_cell_angle_gamma 120.00
loop_
_atom_site_label
_atom_site_type_symbol
_atom_site_fract_x
_atom_site_fract_y
_atom_site_fract_z
Ca1 Ca 0.0000 0.0000 0.1258
Ir1 Ir 0.0000 0.0000 0.5000
Rh1 Rh 0.0000 0.5000 0.0000
# **Calculated formation energy**: -0.4371 eV per atom



No. 8
# NaTeH2Rh | Alexandria | GGA-PBE | optimized geometry
data_NaTeH2Rh
_space_group_name_H-M_alt 'P 4/m m m'
_space_group_IT_number 123
_space_group_name_Hall '-P 4 2'
_cell_length_a 3.7936
_cell_length_b 3.7936
_cell_length_c 6.9002
_cell_angle_alpha 90.00
_cell_angle_beta 90.00
_cell_angle_gamma 90.00
loop_
_atom_site_label
_atom_site_type_symbol
_atom_site_fract_x
_atom_site_fract_y
_atom_site_fract_z
Na1 Na 0.0000 0.0000 0.0000
Te1 Te 0.0000 0.0000 0.5000
H1 H 0.0000 0.5000 0.0000
Rh1 Rh 0.5000 0.5000 0.5000
# **Calculated total energy**: -14.83 eV/f.u.



No. 9
# Tm8Ru3 | Alexandria | GGA-PBE | optimized geometry
data_Tm8Ru3
_space_group_name_H-M_alt 'R -3'
_space_group_IT_number 148
_space_group_name_Hall '-R 3'
_cell_length_a 9.2385
_cell_length_b 9.2385
_cell_length_c 11.6889
_cell_angle_alpha 90.00
_cell_angle_beta 90.00
_cell_angle_gamma 120.00
loop_
_atom_site_label
_atom_site_type_symbol
_atom_site_fract_x
_atom_site_fract_y
_atom_site_fract_z
Tm1 Tm 0.0000 0.0000 0.1505
Tm2 Tm 0.0457 0.2667 0.6139
Ru1 Ru 0.0000 0.5000 0.5000
# **Calculated formation energy**: -0.2620 eV per atom



No. 10
# YNiAgPt2 | Alexandria | GGA-PBE | optimized geometry
data_YNiAgPt2
_space_group_name_H-M_alt 'P 4/m m m'
_space_group_IT_number 123
_space_group_name_Hall '-P 4 2'
_cell_length_a 4.6937
_cell_length_b 4.6937
_cell_length_c 4.7193
_cell_angle_alpha 90.00
_cell_angle_beta 90.00
_cell_angle_gamma 90.00
loop_
_atom_site_label
_atom_site_type_symbol
_atom_site_fract_x
_atom_site_fract_y
_atom_site_fract_z
Y1 Y 0.0000 0.0000 0.0000
Ni1 Ni 0.0000 0.0000 0.5000
Ag1 Ag 0.5000 0.5000 0.0000
Pt1 Pt 0.0000 0.5000 0.5000
# **Calculated formation energy**: 0.1740 eV per atom



No. 11
# Pr7Tm4Pu | Alexandria | GGA-PBE | optimized geometry
data_Pr7Tm4Pu
_space_group_name_H-M_alt 'C 1 2/m 1'
_space_group_IT_number 12
_cell_length_a 11.5015
_cell_length_b 5.5718
_cell_length_c 13.0859
_cell_angle_alpha 90.00
_cell_angle_beta 104.44
_cell_angle_gamma 90.00
loop_
_space_group_symop_operation_xyz
'x,y,z'
'-x,-y,-z'
'-x,y,-z'
'x,-y,z'
'x+1/2,y+1/2,z'
'-x+1/2,-y+1/2,-z'
'-x+1/2,y+1/2,-z'
'x+1/2,-y+1/2,z'
loop_
_atom_site_label
_atom_site_type_symbol
_atom_site_fract_x
_atom_site_fract_y
_atom_site_fract_z
Pr1 Pr 0.0000 0.0000 0.0000
Pr2 Pr 0.1412 0.0000 0.4682
Pr3 Pr 0.1536 0.5000 0.2589
Pr4 Pr 0.2247 0.5000 0.8940
Tm1 Tm 0.0523 0.0000 0.7745
Tm2 Tm 0.0894 0.5000 0.6243
Pu1 Pu 0.0000 0.5000 0.0000
# **Calculated formation energy**: 0.2199 eV per atom



No. 12
# Cs2Rb2Hg2O | Alexandria | GGA-PBE | optimized geometry
data_Cs2Rb2Hg2O
_space_group_name_H-M_alt 'C 1 2/m 1'
_space_group_IT_number 12
_cell_length_a 17.5217
_cell_length_b 4.3960
_cell_length_c 7.9152
_cell_angle_alpha 90.00
_cell_angle_beta 94.85
_cell_angle_gamma 90.00
loop_
_space_group_symop_operation_xyz
'x,y,z'
'-x,-y,-z'
'-x,y,-z'
'x,-y,z'
'x+1/2,y+1/2,z'
'-x+1/2,-y+1/2,-z'
'-x+1/2,y+1/2,-z'
'x+1/2,-y+1/2,z'
loop_
_atom_site_label
_atom_site_type_symbol
_atom_site_fract_x
_atom_site_fract_y
_atom_site_fract_z
Cs1 Cs 0.0304 0.0000 0.2656
Rb1 Rb 0.1527 0.5000 0.6204
Hg1 Hg 0.2088 0.5000 0.0980
O1 O 0.0000 0.5000 0.5000
# **Formation energy from raw total energies**: -523 meV per atom